Entry 1:
This record from Alexandria describes a relaxed Tl2RuRh crystal. The functional is GGA-PBE.

a b c (Å): 6.332 6.332 6.332
angles (deg): 152.14 137.75 51.37
Fractional positions:
Rh  0.552  0.552  0.000
Tl  0.965  0.965  0.000
Ru  0.744  0.244  0.500
Tl  0.239  0.739  0.500

E above lowest polymorph = 0.0881 eV per atom
ΔE_f = 427.4 meV/atom
E = -4.91 eV/atom

Entry 2:
This record from Alexandria describes a relaxed Tl2RuRh crystal. The functional is GGA-PBE.

a b c (Å): 7.399 7.399 6.022
angles (deg): 52.09 52.09 90.00
Last column: magnetic moment on the atom in μB.
Fractional positions:
Ru  0.500  0.500  0.000  0.77
Rh  0.000  0.000  0.000  0.22
Tl  0.122  0.625  0.250  -0.02
Tl  0.628  0.125  0.250  -0.01
Ru  0.250  0.750  0.500  0.77
Tl  0.875  0.878  0.750  -0.01
Rh  0.750  0.250  0.500  0.22
Tl  0.375  0.372  0.750  -0.01

E above lowest polymorph = 0.4006 eV per atom
ΔE_f = 740.0 meV/atom
E = -4.60 eV/atom

Entry 3:
This record from Alexandria describes a relaxed TlRu2Rh crystal. The functional is GGA-PBE.

a b c (Å): 4.618 4.618 3.021
angles (deg): 90.00 90.00 90.00
Fractional positions:
Ru  0.500  0.500  0.000
Ru  0.000  0.000  0.000
Rh  0.000  0.500  0.500
Tl  0.500  0.000  0.500

E above lowest polymorph = 0.3225 eV per atom
ΔE_f = 629.1 meV/atom
E = -6.44 eV/atom

Entry 4:
This record from Alexandria describes a relaxed Tl3RuRh crystal. The functional is GGA-PBE.

a b c (Å): 5.167 5.167 5.167
angles (deg): 90.00 90.00 90.00
Last column: magnetic moment on the atom in μB.
Fractional positions:
Ru  0.000  0.000  0.000  -0.01
Rh  0.500  0.500  0.500  0.55
Tl  0.500  0.000  0.000  0.01
Tl  0.000  0.000  0.500  0.00
Tl  0.000  0.500  0.000  0.00

E above lowest polymorph = 0.0000 eV per atom
ΔE_f = 897.3 meV/atom
E = -3.85 eV/atom

Entry 5:
This record from Alexandria describes a relaxed TlRu4Rh crystal. The functional is GGA-PBE.

a b c (Å): 5.151 5.151 5.151
angles (deg): 60.00 60.00 60.00
Last column: magnetic moment on the atom in μB.
Fractional positions:
Ru  0.374  0.374  0.374  0.32
Ru  0.374  0.374  0.877  0.32
Ru  0.877  0.374  0.374  0.32
Rh  0.000  0.000  0.000  0.23
Ru  0.374  0.877  0.374  0.32
Tl  0.750  0.750  0.750  -0.01

ΔE_f = 668.9 meV/atom
E = -7.13 eV/atom

Entry 6:
This record from Alexandria describes a relaxed TlRu2Rh crystal. The functional is GGA-PBE.

a b c (Å): 5.646 5.646 5.646
angles (deg): 150.68 131.63 57.57
Fractional positions:
Rh  0.250  0.750  0.500
Tl  0.750  0.250  0.500
Ru  0.023  0.023  0.000
Ru  0.477  0.477  0.000

E above lowest polymorph = 0.2260 eV per atom
ΔE_f = 532.7 meV/atom
E = -6.53 eV/atom